Record 1
BaLiZn2 | PBE-GGA | relaxed

Cell and atoms, written as POSCAR:
```
BaLiZn2
1.0
-0.9031 0.8802 3.5419
-0.1112 -3.6536 0.8796
7.1403 0.2085 1.7688
Ba Li Zn
1 1 2
Cartesian
3.3980 0.0992 0.8418
5.4640 -1.2123 3.6900
0.0118 0.0003 0.0029
0.8222 -1.3479 2.5401
```

Record 2
Ba2LiZn | PBE-GGA | relaxed

Cell and atoms, written as POSCAR:
```
Ba2LiZn
1.0
-3.5088 -1.7474 1.1515
1.3595 -0.1943 3.8477
-3.5408 8.2074 1.6655
Zn Ba Li
1 2 1
Cartesian
-3.5497 4.7661 3.6638
-3.2569 7.5494 1.5320
-2.1864 1.6060 3.0225
-2.0083 4.6552 0.9447
```

Record 3
Ba2LiZn | PBE-GGA | relaxed

Cell and atoms, written as POSCAR:
```
Ba2LiZn
1.0
5.7094 -0.0791 0.0000
0.1013 5.7091 0.0000
-2.9054 -2.8150 4.0297
Ba Li Zn
2 1 1
Cartesian
0.0000 0.0000 0.0000
0.0506 2.8545 2.0148
2.9054 2.8150 0.0000
2.8547 -0.0395 2.0148
```

Record 4
Ba8Li2Zn | PBE-GGA | relaxed

Cell and atoms, written as POSCAR:
```
Ba8Li2Zn
1.0
6.2217 0.0000 0.0000
0.0000 8.3926 0.1440
-3.1109 -3.4217 10.3541
Ba Li Zn
8 2 1
Cartesian
0.0000 2.0112 8.5958
3.1109 7.0647 3.3621
3.1109 3.7763 6.2182
3.1109 -1.5462 9.8540
0.0000 1.1946 4.2798
0.0000 -2.0939 7.1359
3.1109 2.9597 1.9023
0.0000 6.5171 0.6441
3.1109 0.1807 6.6129
0.0000 4.7902 3.8851
3.1109 0.0000 0.0000
```

Record 5
BaLiZn2 | PBE-GGA | relaxed

Cell and atoms, written as POSCAR:
```
BaLiZn2
1.0
4.9223 0.0000 0.0000
0.0000 4.9223 0.0000
2.4611 2.4611 9.6488
Zn Ba Li
4 2 2
Cartesian
2.4675 1.2306 2.4122
2.4548 3.6917 2.4122
3.6917 4.9160 7.2366
6.1529 4.9286 7.2366
0.0000 0.0000 0.0000
4.9223 2.4611 4.8244
2.4611 2.4611 0.0000
2.4611 4.9223 4.8244
```

Record 6
Ba2LiZn7 | PBE-GGA | relaxed

Cell and atoms, written as POSCAR:
```
Ba2LiZn7
1.0
-1.8690 -3.8676 -1.4845
4.0875 -1.9867 0.0298
-1.6612 -3.2591 10.5825
Ba Li Zn
2 1 7
Cartesian
-2.1681 -4.3540 7.1162
1.6161 -1.8323 2.7389
1.1092 -2.9271 -0.7274
0.5980 -3.8298 9.2248
-1.5635 -3.1679 3.2649
-1.1500 -2.3565 0.6303
1.0116 -3.0184 6.5902
-0.8306 -1.6296 5.2912
0.0000 0.0000 0.0000
0.2786 -4.5567 4.5639
```

Record 7
BaLi10Zn2 | PBE-GGA | relaxed

Cell and atoms, written as POSCAR:
```
BaLi10Zn2
1.0
7.5729 0.1197 0.0000
-1.0029 7.5071 0.0000
0.0000 0.0000 9.8724
Ba Li Zn
2 20 4
Cartesian
6.6166 0.9435 7.4043
-0.0466 6.6833 2.4681
2.9065 0.8711 7.4043
3.6635 6.7558 2.4681
6.1389 4.6234 7.4043
0.4311 3.0034 2.4681
3.1851 5.7534 7.4043
3.3849 1.8734 2.4681
1.3516 3.6250 7.4043
5.2184 4.0018 2.4681
5.9661 1.5038 4.0056
0.6039 6.1230 8.9418
5.9661 1.5038 0.9306
0.6039 6.1230 5.8668
4.2050 3.0209 9.1116
2.3650 4.6059 4.1754
4.2050 3.0209 5.6971
2.3650 4.6059 0.7608
4.9981 5.8021 0.0000
1.5718 1.8247 4.9362
1.5718 1.8247 0.0000
4.9981 5.8021 4.9362
3.7864 0.0598 0.0000
3.7864 0.0598 4.9362
-0.5015 3.7536 4.9362
-0.5015 3.7536 0.0000
```

Record 8
Ba3Li3Zn2 | PBE-GGA | relaxed

Cell and atoms, written as POSCAR:
```
Ba3Li3Zn2
1.0
-2.2648 -0.4585 -5.0656
6.3364 -2.3096 0.4359
-5.3434 -13.9697 3.6534
Ba Li Zn
6 6 4
Cartesian
0.3670 -1.5249 -3.0860
0.6692 -9.1788 0.5316
-1.9410 -7.5590 -1.5079
-1.6389 -15.2130 2.1096
3.4283 -5.8167 -1.0063
-4.7002 -10.9211 0.0300
3.2807 -3.9444 -4.1697
-2.8879 -8.4414 2.0552
1.6161 -8.2964 -3.0315
-4.5525 -12.7935 3.1933
0.3009 -5.0726 -2.7353
-1.5727 -11.6652 1.7589
-1.4657 -11.1282 -1.3973
1.0777 -3.2991 -0.1832
-2.3495 -13.4388 -0.7931
0.1939 -5.6096 0.4210
```

Record 9
Ba2LiZn | PBE-GGA | relaxed

Cell and atoms, written as POSCAR:
```
Ba2LiZn
1.0
4.5833 0.0000 0.0000
2.2917 3.9693 0.0000
2.2917 1.3231 9.8163
Ba Li Zn
2 1 1
Cartesian
2.2917 1.3231 7.6632
2.2917 1.3231 2.1597
4.5833 2.6462 4.8731
4.5833 2.6462 0.0283
```

Record 10
BaLiZn3 | PBE-GGA | relaxed

Cell and atoms, written as POSCAR:
```
BaLiZn3
1.0
-1.0942 4.2164 2.3556
-4.7296 -0.4461 -1.3986
-0.9786 -2.5587 4.1254
Zn Ba Li
3 1 1
Cartesian
-2.3648 -0.2230 -0.6993
-0.4893 -1.2794 2.0627
-0.5471 2.1082 1.1778
-3.4012 0.6058 2.5412
0.0000 0.0000 0.0000
```

Record 11
BaLi4Zn | PBE-GGA | relaxed

Cell and atoms, written as POSCAR:
```
BaLi4Zn
1.0
8.2813 -0.0009 -0.0027
0.0000 5.2664 1.3038
-4.1438 -0.5954 6.8358
Ba Li Zn
2 8 2
Cartesian
2.5884 3.3538 7.8102
1.5492 1.3163 0.3266
0.6577 0.8629 5.5936
4.8031 1.1743 1.8888
3.4798 3.8072 2.5433
-0.6656 3.4958 6.2481
4.8695 4.4652 5.1086
0.7292 2.8387 3.6803
-0.7319 0.2049 3.0283
3.4083 1.8314 4.4566
2.0688 -0.2982 3.4166
-2.0719 2.3355 4.0698
```

Record 12
Ba3Li9Zn2 | PBE-GGA | relaxed

Cell and atoms, written as POSCAR:
```
Ba3Li9Zn2
1.0
4.7606 0.0000 1.2068
2.0240 8.9700 2.0090
0.1540 0.6921 9.3857
Ba Li Zn
3 9 2
Cartesian
0.0000 0.0000 0.0000
3.9362 3.0841 4.4587
3.0023 6.5780 8.1428
1.0890 4.8311 5.6973
5.3480 9.3253 8.8825
1.5905 0.3369 3.7190
4.7070 6.4876 11.4112
2.2315 3.1745 1.1903
5.9933 7.6450 6.3369
0.9452 2.0171 6.2646
5.1726 4.0118 9.5746
1.7659 5.6503 3.0269
3.0568 3.0054 7.9276
3.8817 6.6567 4.6739
```

Record 13
BaLiZn2 | PBE-GGA | relaxed

Cell and atoms, written as POSCAR:
```
BaLiZn2
1.0
4.4695 0.0000 0.0000
0.0000 4.1358 0.1732
0.0000 1.8677 6.2562
Ba Li Zn
1 1 2
Cartesian
0.0000 2.7385 2.8622
2.2347 4.7385 5.6596
0.0000 2.6625 6.2446
2.2347 0.7333 1.1340
```

Record 14
BaLiZn17 | PBE-GGA | relaxed

Cell and atoms, written as POSCAR:
```
BaLiZn17
1.0
6.8832 0.0008 0.8130
0.7227 6.8452 0.8130
0.0009 0.0008 6.9311
Ba Li Zn
1 1 17
Cartesian
5.0002 4.5006 5.6247
2.5274 2.2749 2.8431
2.0111 0.0462 5.1150
5.0497 1.9952 0.8544
0.5540 4.8126 2.5966
2.5138 4.8126 0.8544
0.2569 1.9952 5.1150
4.8442 0.0462 2.5966
2.9845 5.8705 3.3573
2.6134 2.3523 6.5022
6.1512 2.3523 3.3573
4.5693 1.1072 5.1401
4.9196 4.4280 2.1717
1.5803 4.4280 5.1401
7.2102 3.4638 8.1108
7.5628 6.8072 5.1222
4.2009 6.8072 8.1108
6.8984 6.2091 7.7601
0.8166 0.7350 0.9186
```

Record 15
Ba3LiZn2 | PBE-GGA | relaxed

Cell and atoms, written as POSCAR:
```
Ba3LiZn2
1.0
-1.7181 -3.6809 -0.9534
0.3390 1.3283 -5.7393
7.9151 -4.3411 2.4961
Ba Li Zn
3 1 2
Cartesian
-0.6896 -1.1763 -3.3464
4.5519 -3.5601 -3.5885
1.9840 -3.1335 -0.6080
0.0000 0.0000 0.0000
5.5245 -2.5126 -0.2552
1.0114 -4.1810 -3.9413
```

Record 16
Ba4LiZn | PBE-GGA | relaxed

Cell and atoms, written as POSCAR:
```
Ba4LiZn
1.0
-5.0725 -2.0125 -2.3007
-1.0050 -3.1102 4.9379
-4.1443 6.6343 3.3339
Ba Li Zn
4 1 1
Cartesian
-4.6485 -2.3412 4.6578
-6.5697 0.7286 6.2041
-3.5313 3.2901 4.8859
-1.6101 0.2203 3.3393
-7.1799 4.0674 4.6299
-3.0733 0.2009 6.5857
```

Record 17
Ba3LiZn8 | PBE-GGA | relaxed

Cell and atoms, written as POSCAR:
```
Ba3LiZn8
1.0
5.9957 0.0000 0.0000
-2.9978 5.1924 0.0000
0.0000 0.0000 9.1674
Ba Li Zn
3 1 8
Cartesian
2.9978 1.7308 4.2113
2.9978 1.7308 0.4726
0.0000 0.0000 8.5024
0.0000 0.0000 4.8487
0.0000 3.4616 4.5720
0.0000 3.4616 0.1396
0.0000 5.0157 6.8527
1.3459 2.6845 6.8527
-1.3459 2.6845 6.8527
0.0000 1.7679 2.3722
-1.4668 4.3085 2.3722
1.4668 4.3085 2.3722
```

Record 18
Ba2LiZn | PBE-GGA | relaxed

Cell and atoms, written as POSCAR:
```
Ba2LiZn
1.0
-1.8325 2.9000 -3.9286
-4.4294 -0.5704 1.6450
-1.5664 4.9114 4.3562
Zn Ba Li
1 2 1
Cartesian
-4.5886 4.7572 2.1899
-5.7801 3.8993 5.5745
-2.6329 2.9606 -0.0484
-3.8203 2.1354 3.3583
```

Record 19
Ba2Li2Zn15 | PBE-GGA | relaxed

Cell and atoms, written as POSCAR:
```
Ba2Li2Zn15
1.0
-4.8026 -3.5928 3.7840
-2.7185 -3.6789 -5.4191
3.9097 -5.8414 0.9401
Ba Li Zn
2 2 15
Cartesian
-1.2389 -4.4985 -0.2384
-2.3725 -8.6146 -0.4566
-0.3551 -1.2892 -0.0683
-3.2564 -11.8239 -0.6267
-2.4013 -1.7964 1.8920
1.9549 -2.9207 0.4700
-1.3593 -1.8395 -2.7096
-0.8492 -4.2888 -3.6257
-4.2148 -3.6171 1.1885
1.4526 -5.2072 1.7421
-3.3063 -3.6546 -2.8236
-2.3455 -4.2270 2.9820
2.0404 -5.2315 -0.8534
0.0579 -6.8213 -2.3799
-4.3666 -5.6793 -0.9357
-1.0005 -6.7775 2.2938
-3.6693 -6.2919 1.6849
0.7552 -7.4338 0.2406
-2.6109 -6.3356 -2.9888
```

Record 20
Ba2LiZn2 | PBE-GGA | relaxed

Cell and atoms, written as POSCAR:
```
Ba2LiZn2
1.0
4.1940 0.0000 0.0000
0.0000 4.1940 0.0000
2.0970 2.0970 10.1721
Zn Ba Li
2 2 1
Cartesian
4.1940 2.0970 5.0860
2.0970 4.1940 5.0860
2.0970 2.0970 2.3870
4.1940 4.1940 7.7851
0.0000 0.0000 0.0000
```

Number 1: DFT formation energy 27.3 meV/atom, E_tot -1.57 eV per atom. Number 2: DFT formation energy -21.6 meV/atom, E_tot -1.78 eV per atom. Number 3: DFT formation energy 61.6 meV/atom, E_tot -1.70 eV per atom. Number 4: DFT formation energy 12.0 meV/atom, E_tot -1.85 eV per atom. Number 5: DFT formation energy -29.4 meV/atom, E_tot -1.63 eV per atom. Number 6: DFT formation energy -163.3 meV/atom, E_tot -1.63 eV per atom. Number 7: DFT formation energy -39.8 meV/atom, E_tot -1.86 eV per atom. Number 8: DFT formation energy -15.6 meV/atom, E_tot -1.77 eV per atom. Number 9: DFT formation energy 85.9 meV/atom, E_tot -1.67 eV per atom. Number 10: DFT formation energy -19.8 meV/atom, E_tot -1.55 eV per atom. Number 11: DFT formation energy -11.3 meV/atom, E_tot -1.82 eV per atom. Number 12: DFT formation energy -20.9 meV/atom, E_tot -1.85 eV per atom. Number 13: DFT formation energy -86.7 meV/atom, E_tot -1.68 eV per atom. Number 14: DFT formation energy -77.9 meV/atom, E_tot -1.42 eV per atom. Number 15: DFT formation energy -101.1 meV/atom, E_tot -1.81 eV per atom. Number 16: DFT formation energy 75.0 meV/atom, E_tot -1.74 eV per atom. Number 17: DFT formation energy -112.7 meV/atom, E_tot -1.60 eV per atom. Number 18: DFT formation energy -64.4 meV/atom, E_tot -1.82 eV per atom. Number 19: DFT formation energy -172.2 meV/atom, E_tot -1.58 eV per atom. Number 20: DFT formation energy 52.1 meV/atom, E_tot -1.61 eV per atom.